(1)
VASP calculation (PBE-GGA) on a relaxed structure of CoAu3Cl.

## Properties
* DOS(E_F): 9.08 states/eV per cell
* crystal system: cubic
* theoretical density: 9.5 g cm⁻³
* M_tot: 2.41 μB/f.u.
* distance to the lowest polymorph of the same formula: 600 meV/atom

Unit cell a=4.924 b=4.924 c=4.924 alpha=90.00 beta=90.00 gamma=90.00
Last column: magnetic moment on the atom in μB.
Fractional coordinates of all 5 atoms:
Co (0.500, 0.500, 0.500)  2.27
Au (0.000, 0.500, 0.000)  -0.02
Au (0.000, 0.000, 0.500)  0.00
Au (0.500, 0.000, 0.000)  0.06
Cl (0.000, 0.000, 0.000)  0.02

(2)
VASP calculation (PBE-GGA) on a relaxed structure of Co3AuCl.

## Properties
* DOS(E_F): 20.24 states/eV per cell
* crystal system: cubic
* theoretical density: 6.1 g cm⁻³
* M_tot: 6.54 μB/f.u.
* distance to the lowest polymorph of the same formula: 691 meV/atom

Unit cell a=4.811 b=4.811 c=4.811 alpha=90.00 beta=90.00 gamma=90.00
Last column: magnetic moment on the atom in μB.
Fractional coordinates of all 5 atoms:
Co (0.000, 0.500, 0.000)  2.03
Co (0.000, 0.000, 0.500)  2.62
Co (0.500, 0.000, 0.000)  1.57
Au (0.000, 0.000, 0.000)  0.13
Cl (0.500, 0.500, 0.500)  0.07

(3)
VASP calculation (PBE-GGA) on a relaxed structure of CoAuCl2.

## Properties
* DOS(E_F): 6.09 states/eV per cell
* crystal system: cubic
* theoretical density: 7.5 g cm⁻³
* M_tot: 2.12 μB/f.u.
* distance to the lowest polymorph of the same formula: 557 meV/atom

Unit cell a=4.682 b=4.682 c=4.682 alpha=60.00 beta=60.00 gamma=60.00
Last column: magnetic moment on the atom in μB.
Fractional coordinates of all 4 atoms:
Co (0.000, 0.000, 0.000)  2.08
Au (0.500, 0.500, 0.500)  -0.05
Cl (0.250, 0.250, 0.250)  0.06
Cl (0.750, 0.750, 0.750)  0.06

(4)
VASP calculation (PBE-GGA) on a relaxed structure of CoAu2Cl.

## Properties
* DOS(E_F): 3.39 states/eV per cell
* crystal system: orthorhombic
* theoretical density: 10.2 g cm⁻³
* M_tot: 2.14 μB/f.u.
* distance to the lowest polymorph of the same formula: 64 meV/atom

Unit cell a=6.785 b=6.785 c=6.785 alpha=155.54 beta=141.76 gamma=45.91
Last column: magnetic moment on the atom in μB.
Fractional coordinates of all 4 atoms:
Co (0.274, 0.774, 0.500)  1.95
Au (0.088, 0.088, 0.000)  0.01
Au (0.719, 0.219, 0.500)  0.05
Cl (0.419, 0.419, 0.000)  0.13

(5)
VASP calculation (PBE-GGA) on a relaxed structure of CoAuCl3.

## Properties
* DOS(E_F): 7.26 states/eV per cell
* crystal system: cubic
* theoretical density: 5.9 g cm⁻³
* M_tot: 2.05 μB/f.u.
* distance to the lowest polymorph of the same formula: 0 meV/atom

Unit cell a=4.675 b=4.675 c=4.675 alpha=90.00 beta=90.00 gamma=90.00
Last column: magnetic moment on the atom in μB.
Fractional coordinates of all 5 atoms:
Co (0.000, 0.000, 0.000)  1.88
Au (0.500, 0.500, 0.500)  -0.02
Cl (0.000, 0.500, 0.000)  0.04
Cl (0.000, 0.000, 0.500)  0.04
Cl (0.500, 0.000, 0.000)  0.07

(6)
VASP calculation (PBE-GGA) on a relaxed structure of CoAuCl4.

## Properties
* DOS(E_F): 10.79 states/eV per cell
* crystal system: cubic
* theoretical density: 4.8 g cm⁻³
* M_tot: 4.16 μB/f.u.
* distance to the lowest polymorph of the same formula: 1507 meV/atom

Unit cell a=5.796 b=5.796 c=5.796 alpha=60.00 beta=60.00 gamma=60.00
Last column: magnetic moment on the atom in μB.
Fractional coordinates of all 6 atoms:
Co (0.750, 0.750, 0.750)  2.21
Au (0.000, 0.000, 0.000)  -0.03
Cl (0.874, 0.375, 0.375)  0.41
Cl (0.375, 0.375, 0.874)  0.41
Cl (0.375, 0.874, 0.375)  0.41
Cl (0.375, 0.375, 0.375)  0.41

(7)
VASP calculation (PBE-GGA) on a relaxed structure of CoAuCl2.

## Properties
* DOS(E_F): 3.99 states/eV per cell
* crystal system: orthorhombic
* theoretical density: 6.1 g cm⁻³
* M_tot: 1.05 μB/f.u.
* distance to the lowest polymorph of the same formula: 152 meV/atom

Unit cell a=3.248 b=3.248 c=10.171 alpha=90.00 beta=90.00 gamma=123.57
Last column: magnetic moment on the atom in μB.
Fractional coordinates of all 4 atoms:
Co (0.500, 0.500, 0.250)  0.99
Au (0.500, 0.500, 0.750)  0.00
Cl (0.000, 0.000, 0.097)  0.01
Cl (0.000, 0.000, 0.403)  0.01

(8)
VASP calculation (PBE-GGA) on a relaxed structure of CoAuCl2.

## Properties
* DOS(E_F): 3.58 states/eV per cell
* crystal system: orthorhombic
* theoretical density: 6.6 g cm⁻³
* M_tot: 2.18 μB/f.u.
* distance to the lowest polymorph of the same formula: 415 meV/atom

Unit cell a=3.384 b=6.256 c=3.881 alpha=90.00 beta=90.00 gamma=90.00
Last column: magnetic moment on the atom in μB.
Fractional coordinates of all 4 atoms:
Co (0.500, 0.000, 0.500)  2.04
Au (0.000, 0.500, 0.500)  0.02
Cl (0.000, 0.000, 0.000)  0.04
Cl (0.500, 0.500, 0.000)  0.01

(9)
VASP calculation (PBE-GGA) on a relaxed structure of CoAu2Cl.

## Properties
* DOS(E_F): 7.22 states/eV per cell
* crystal system: tetragonal
* theoretical density: 10.4 g cm⁻³
* M_tot: 2.29 μB/f.u.
* distance to the lowest polymorph of the same formula: 360 meV/atom

Unit cell a=6.159 b=6.159 c=6.159 alpha=144.52 beta=144.52 gamma=51.05
Last column: magnetic moment on the atom in μB.
Fractional coordinates of all 4 atoms:
Co (0.750, 0.250, 0.500)  2.15
Au (0.000, 0.000, 0.000)  0.01
Au (0.500, 0.500, 0.000)  0.01
Cl (0.250, 0.750, 0.500)  0.05

(10)
VASP calculation (PBE-GGA) on a relaxed structure of CoAuCl2.

## Properties
* DOS(E_F): 2.56 states/eV per cell
* crystal system: monoclinic
* theoretical density: 5.9 g cm⁻³
* M_tot: 1.11 μB/f.u.
* distance to the lowest polymorph of the same formula: 140 meV/atom

Unit cell a=3.066 b=3.055 c=9.795 alpha=90.26 beta=90.00 gamma=90.00
Last column: magnetic moment on the atom in μB.
Fractional coordinates of all 4 atoms:
Co (0.500, 0.250, 0.250)  1.00
Au (0.500, 0.750, 0.750)  -0.01
Cl (0.000, 0.248, 0.093)  0.04
Cl (0.000, 0.252, 0.407)  0.04

(11)
VASP calculation (PBE-GGA) on a relaxed structure of CoAu2Cl.

## Properties
* DOS(E_F): 2.53 states/eV per cell
* crystal system: orthorhombic
* theoretical density: 11.6 g cm⁻³
* M_tot: 1.94 μB/f.u.
* distance to the lowest polymorph of the same formula: 190 meV/atom

Unit cell a=3.078 b=3.078 c=7.352 alpha=90.00 beta=90.00 gamma=90.12
Last column: magnetic moment on the atom in μB.
Fractional coordinates of all 4 atoms:
Co (0.500, 0.500, 0.750)  1.91
Au (0.000, 0.000, 0.965)  0.03
Au (0.000, 0.000, 0.535)  0.03
Cl (0.500, 0.500, 0.250)  -0.01

(12)
VASP calculation (PBE-GGA) on a relaxed structure of CoAu2Cl.

## Properties
* DOS(E_F): 3.78 states/eV per cell
* crystal system: monoclinic
* theoretical density: 9.2 g cm⁻³
* M_tot: 2.18 μB/f.u.
* distance to the lowest polymorph of the same formula: 0 meV/atom

Unit cell a=4.781 b=4.781 c=6.524 alpha=83.16 beta=83.16 gamma=36.60
Last column: magnetic moment on the atom in μB.
Fractional coordinates of all 4 atoms:
Co (0.208, 0.208, 0.179)  1.97
Au (0.943, 0.943, 0.036)  0.06
Au (0.686, 0.686, 0.843)  0.02
Cl (0.663, 0.663, 0.442)  0.12